Record 1
Below is an optimized crystal structure of Mn2TlSi, with properties calculated at the PBE level.

Properties
total magnetic moment	6.40	μB/cell
mass density	8.82	g/cm³
formation energy from raw total energies	438	meV per atom
symmetry	P4/mmm, No. 123
N(E_F)	3.252	states/eV per cell
calculated total energy	-6.09	eV per atom

a b c (Å): 4.093 4.093 3.846
angles (deg): 90.00 90.00 90.00
Atoms (fractional coordinates):
Mn 0.000 0.500 0.000
Mn 0.500 0.000 0.000
Tl 0.000 0.000 0.500
Si 0.500 0.500 0.500

***

Record 2
Below is an optimized crystal structure of Ce3PmSm4Se8, with properties calculated at the PBE level.

Properties
total magnetic moment	2.88	μB/cell
mass density	7.19	g/cm³
formation energy from raw total energies	-1828	meV per atom
symmetry	R-3m, No. 166
N(E_F)	22.005	states/eV per cell
calculated total energy	-6.16	eV per atom

a b c (Å): 8.383 8.383 8.383
angles (deg): 59.86 59.86 59.86
Atoms (fractional coordinates):
Ce 0.000 0.500 0.500
Ce 0.500 0.000 0.500
Ce 0.500 0.500 0.000
Pm 0.000 0.000 0.000
Sm 0.000 0.000 0.500
Sm 0.000 0.500 0.000
Sm 0.500 0.000 0.000
Sm 0.500 0.500 0.500
Se 0.249 0.249 0.249
Se 0.249 0.749 0.749
Se 0.251 0.251 0.751
Se 0.251 0.751 0.251
Se 0.749 0.249 0.749
Se 0.749 0.749 0.249
Se 0.751 0.251 0.251
Se 0.751 0.751 0.751

***

Record 3
Below is an optimized crystal structure of PmURu2, with properties calculated at the PBE level.

Properties
total magnetic moment	1.69	μB/cell
mass density	12.05	g/cm³
symmetry	P4/mmm, No. 123
E above lowest polymorph	16.1	kJ per mole of atoms
E_form	-0.101	eV per atom
N(E_F)	6.046	states/eV per cell
calculated total energy	-8.75	eV per atom

a b c (Å): 4.897 4.897 3.362
angles (deg): 90.00 90.00 90.00
Atoms (fractional coordinates):
Pm 0.000 0.000 0.000
U 0.500 0.500 0.000
Ru 0.000 0.500 0.500
Ru 0.500 0.000 0.500